# Mg2Ni3WS8 (PBE, optimized geometry)
# space group: R-3m, No. 166
# theoretical density: 4328 kg/m3
# formation energy without anion corrections: -0.501 eV per atom
data_Mg2Ni3WS8
_space_group_name_H-M_alt 'P 1'
_space_group_IT_number 1
_space_group_name_Hall 'P 1'
_cell_length_a 7.162
_cell_length_b 7.162
_cell_length_c 7.162
_cell_angle_alpha 59.22
_cell_angle_beta 59.22
_cell_angle_gamma 59.22
loop_
_atom_site_label
_atom_site_fract_x
_atom_site_fract_y
_atom_site_fract_z
Mg1 0.134 0.134 0.134
Mg2 0.866 0.866 0.866
Ni1 0.000 0.500 0.500
Ni2 0.500 0.000 0.500
Ni3 0.500 0.500 0.000
W1 0.500 0.500 0.500
S1 0.262 0.262 0.713
S2 0.262 0.713 0.262
S3 0.272 0.272 0.272
S4 0.287 0.738 0.738
S5 0.713 0.262 0.262
S6 0.728 0.728 0.728
S7 0.738 0.287 0.738
S8 0.738 0.738 0.287